No. 1
AcPm2Nd6Y PBE-GGA optimized geometry; space-group type = C2/c, No. 15; N(E_F) = 14.50 states/eV/f.u.; final energy = -4.756 eV per atom
1.0
-1.1355 7.1056 6.7970
-7.2392 2.7603 -4.8571
-1.1645 -6.7306 6.0795
Pm Nd Ac Y
4 12 2 2
Cartesian
-6.9935 3.3031 8.0159
-2.4318 2.3201 4.6290
-2.5456 -0.1678 0.0035
-7.1074 0.8151 3.3903
-3.3400 -2.0166 7.1195
-4.4098 2.1431 1.9170
-5.2434 0.3729 9.3909
-5.8506 -0.5466 0.3831
-1.8518 -4.3060 4.3060
-7.6874 7.4413 3.7134
-6.1991 5.1519 0.8999
-7.9922 2.0017 0.0215
-4.2958 2.7624 -1.3715
-5.1293 0.9922 6.1024
-1.5469 1.1336 7.9979
-3.6885 3.6819 7.6362
-2.1592 -1.1777 10.9195
-7.3799 4.3130 -2.9001
-3.9410 -1.0598 3.2911
-5.5981 4.1951 4.7283

No. 2
AcPm2NdY6 PBE-GGA optimized geometry; space-group type = C2/c, No. 15; N(E_F) = 16.45 states/eV/f.u.; final energy = -5.591 eV per atom
1.0
9.2705 -2.0831 -2.1618
0.9323 8.7216 -2.0917
0.9323 -2.4135 8.6381
Y Nd Ac Pm
12 2 2 4
Cartesian
1.3557 -0.8177 6.0577
4.2746 6.8079 1.0449
2.2253 4.4747 -1.3765
8.9099 -0.2497 5.7611
4.3171 2.9183 0.6237
6.8606 -2.5829 3.3397
6.8181 1.3067 3.7609
5.9910 5.0423 -1.6735
5.1442 -0.8173 6.0581
9.7795 5.0427 -1.6731
2.1828 4.7515 2.5261
8.9524 -0.5264 1.8585
7.8852 2.5976 0.6826
3.2500 1.6274 3.7021
7.8852 -3.6684 6.7206
3.2500 7.8935 -2.3359
5.5533 -0.1934 1.0546
0.9181 2.1026 0.9267
10.2171 2.1224 3.4579
5.5819 4.4184 3.3300

Number 1 is which compound?
AcPm2Nd6Y

Which of these has the highest final energy?
AcPm2Nd6Y

Which of these has the highest N(E_F)?
AcPm2NdY6

Which of these has the highest final energy?
AcPm2Nd6Y